Entry 1:
! InAsP2, relaxed, DFT GGA-PBE; values from VASP
! Space group   No. 71
! ΔE to the lowest computed polymorph   168 kJ/mol of formula units
! DFT total energy   -4.05 eV per atom
! Crystal system   orthorhombic
&SYSTEM
  ibrav = 0, nat = 4, ntyp = 3
/
ATOMIC_SPECIES
As 74.92 As.upf
In 114.82 In.upf
P 30.97 P.upf
CELL_PARAMETERS angstrom
5.459 0.021 -0.014
2.183 5.004 0.014
-3.261 -3.363 2.803
ATOMIC_POSITIONS angstrom
As 3.009 -0.415 1.394
In 1.371 2.076 1.408
P 7.344 4.829 0.000
P 4.119 2.708 0.000

Entry 2:
! KInW2, relaxed, DFT GGA-PBE; values from VASP
! Space group   No. 44
! DFT total energy   -6.24 eV per atom
! Crystal system   orthorhombic
&SYSTEM
  ibrav = 0, nat = 4, ntyp = 3
/
ATOMIC_SPECIES
In 114.82 In.upf
K 39.10 K.upf
W 183.84 W.upf
CELL_PARAMETERS angstrom
6.422 0.009 0.006
3.171 5.585 -0.006
-3.908 -4.321 2.702
ATOMIC_POSITIONS angstrom
In 4.461 2.601 0.000
K 3.771 -0.690 1.354
W 0.499 0.291 0.000
W 1.750 1.867 1.348

Entry 3:
! Ga2Tc2Bi, relaxed, DFT GGA-PBE; values from VASP
! Space group   No. 127
! ΔE to the lowest computed polymorph   0 kJ/mol of formula units
! DFT total energy   -5.92 eV per atom
! Crystal system   tetragonal
&SYSTEM
  ibrav = 0, nat = 10, ntyp = 3
/
ATOMIC_SPECIES
Bi 208.98 Bi.upf
Ga 69.72 Ga.upf
Tc 98.00 Tc.upf
CELL_PARAMETERS angstrom
7.198 0.000 0.000
0.000 7.198 0.000
0.000 0.000 3.350
ATOMIC_POSITIONS angstrom
Bi 0.000 0.000 0.000
Bi 3.599 3.599 0.000
Ga 1.018 4.617 1.675
Ga 4.617 6.180 1.675
Ga 6.180 2.581 1.675
Ga 2.581 1.018 1.675
Tc 2.517 6.116 0.000
Tc 6.116 4.681 0.000
Tc 4.681 1.082 0.000
Tc 1.082 2.517 0.000

Entry 4:
! Y2ZrTa, relaxed, DFT GGA-PBE; values from VASP
! Space group   No. 99
! ΔE to the lowest computed polymorph   0 kJ/mol of formula units
! DFT total energy   -8.17 eV per atom
! Crystal system   tetragonal
&SYSTEM
  ibrav = 0, nat = 4, ntyp = 3
/
ATOMIC_SPECIES
Ta 180.95 Ta.upf
Y 88.91 Y.upf
Zr 91.22 Zr.upf
CELL_PARAMETERS angstrom
3.711 0.000 0.000
0.000 3.711 0.000
0.000 0.000 7.800
ATOMIC_POSITIONS angstrom
Ta 1.855 1.855 5.495
Y 0.000 0.000 7.414
Y 1.855 1.855 2.306
Zr 0.000 0.000 4.287

Entry 5:
! Ho8Tm5In, relaxed, DFT GGA-PBE; values from VASP
! Space group   No. 82
! DFT total energy   -4.22 eV per atom
! Crystal system   tetragonal
&SYSTEM
  ibrav = 0, nat = 14, ntyp = 3
/
ATOMIC_SPECIES
Ho 164.93 Ho.upf
Tm 168.93 Tm.upf
In 114.82 In.upf
CELL_PARAMETERS angstrom
0.742 7.989 -2.187
0.192 -4.870 -6.738
-7.242 -0.875 3.993
ATOMIC_POSITIONS angstrom
Ho -0.250 -2.300 -4.991
Ho -4.062 6.392 -0.035
Ho -1.888 4.321 -1.981
Ho -6.067 2.535 -0.430
Ho -1.409 0.986 -4.178
Ho -5.459 -0.633 -4.005
Ho -2.847 1.028 -0.834
Ho -3.253 -3.354 -3.275
Tm -0.835 -1.445 -1.637
Tm -0.516 2.457 -7.214
Tm -4.417 2.533 -3.588
Tm -3.250 3.557 0.903
Tm -6.849 0.943 2.576
In -5.150 -1.094 -0.921

Entry 6:
! SrLiSe2, relaxed, DFT GGA-PBE; values from VASP
! Space group   No. 8
! DFT total energy   -3.89 eV per atom
! ΔE_f (raw)   -1.24 eV per atom
! Crystal system   monoclinic
&SYSTEM
  ibrav = 0, nat = 4, ntyp = 3
/
ATOMIC_SPECIES
Li 6.94 Li.upf
Se 78.96 Se.upf
Sr 87.62 Sr.upf
CELL_PARAMETERS angstrom
6.042 0.008 0.048
4.562 3.962 0.048
0.826 0.309 4.410
ATOMIC_POSITIONS angstrom
Li 8.886 3.327 3.242
Se 11.102 4.157 4.167
Se 2.743 1.027 2.065
Sr 5.842 2.187 1.793